Dy2TmRh after structural relaxation. Source: Alexandria via LeMat-Bulk, functional PBE.

The structure belongs to space group P4/mmm (No. 123); the cell edges are 3.498, 3.498 and 8.496 Å and the angles 90.00°, 90.00° and 90.00°. Symmetry generates all atoms from Dy at (0.000, 0.000, 0.192), Tm at (0.500, 0.500, 0.500) and Rh at (0.500, 0.500, 0.000).

The calculation puts the total moment at 0.01 Bohr magnetons per cell. For the calculated formation energy, the calculation gives -0.39 eV per atom. The calculation puts the uncorrected energy at -22.59 eV per cell. The calculation puts the density of states at the Fermi level at 5.43 states/eV per cell. For the volume, the calculation gives 104.0 Å³ per cell. The calculation puts the energy above the most stable polymorph in this dataset at 0.149 eV per atom.